Entry 1:
Material: Ca2PrSmAu4
Method: DFT, GGA-PBE
State: relaxed

Lattice parameters (Å, degrees): 5.1869 5.1869 25.4063 90.00 90.00 120.00
Space group R-3m (No. 166, hexagonal axes)
Inequivalent atoms, fractional coordinates:
Ca 0.0000 0.0000 0.2504 x6
Pr 0.0000 0.0000 0.5000 x3
Sm 0.0000 0.0000 0.0000 x3
Au 0.0000 0.0000 0.1233 x6
Au 0.0000 0.0000 0.3736 x6

Formation enthalpy at 0 K: -0.804 eV/atom
Energy: -99.123 eV per cell

=====

Entry 2:
Material: SrCa2PrAu4
Method: DFT, GGA-PBE
State: relaxed

Lattice parameters (Å, degrees): 5.2611 5.2611 25.7964 90.00 90.00 120.00
Space group R-3m (No. 166, hexagonal axes)
Inequivalent atoms, fractional coordinates:
Sr 0.0000 0.0000 0.0000 x3
Ca 0.0000 0.0000 0.2510 x6
Pr 0.0000 0.0000 0.5000 x3
Au 0.0000 0.0000 0.1298 x6
Au 0.0000 0.0000 0.3790 x6

Formation enthalpy at 0 K: -0.775 eV/atom
Energy: -89.323 eV per cell

=====

Entry 3:
Material: CaTb2PrAu4
Method: DFT, GGA-PBE
State: relaxed

Lattice parameters (Å, degrees): 5.1581 5.1581 25.3639 90.00 90.00 120.00
Space group R-3m (No. 166, hexagonal axes)
Inequivalent atoms, fractional coordinates:
Ca 0.0000 0.0000 0.0000 x3
Tb 0.0000 0.0000 0.2531 x6
Pr 0.0000 0.0000 0.5000 x3
Au 0.0000 0.0000 0.1249 x6
Au 0.0000 0.0000 0.3763 x6

Formation enthalpy at 0 K: -0.801 eV/atom
Energy: -106.668 eV per cell